VASP calculation (PBE) on BaZrAs2 after structural relaxation.

Unit cell a=4.089 b=4.089 c=7.253 alpha=90.00 beta=90.00 gamma=90.00
Element x y z (fractional)
Zr 0.500 0.500 0.931
As 0.500 0.500 0.270
Ba 0.000 0.000 0.414
As 0.000 0.000 0.885

Properties
Final energy   -5.73 eV per atom
Spin magnetization   0.000 μB per cell
Energy relative to the elements   -784.5 meV/atom
Offset from the most stable computed form   298 meV/atom



VASP calculation (PBE) on RbPa4Pt3S12 after structural relaxation.

Unit cell a=8.491 b=8.491 c=8.491 alpha=109.47 beta=109.47 gamma=109.47
Element x y z (fractional)
Pa 0.000 0.500 0.000
Pa 0.500 0.500 0.500
Pt 0.000 0.500 0.500
S 0.319 0.163 0.481
S 0.519 0.681 0.837
Pa 0.500 0.000 0.000
S 0.163 0.481 0.319
S 0.481 0.319 0.163
S 0.681 0.163 0.844
S 0.837 0.519 0.681
S 0.163 0.844 0.681
Rb 0.000 0.000 0.000
Pt 0.500 0.500 0.000
S 0.837 0.156 0.319
Pa 0.000 0.000 0.500
S 0.681 0.837 0.519
S 0.319 0.837 0.156
S 0.844 0.681 0.163
S 0.156 0.319 0.837
Pt 0.500 0.000 0.500

Properties
Final energy   -6.42 eV per atom
E_form (uncorrected)   -1.09 eV/atom
Spin magnetization   0.005 μB per cell



VASP calculation (PBE) on Tb12Si3O5 after structural relaxation.

Unit cell a=13.198 b=13.198 c=13.198 alpha=109.47 beta=109.47 gamma=109.47
Element x y z (fractional)
O 0.500 0.500 0.500
Si 0.125 0.875 0.750
Tb 0.814 0.904 0.018
O 0.125 0.750 0.375
Si 0.375 0.750 0.625
O 0.875 0.625 0.750
Tb 0.589 0.704 0.686
Tb 0.596 0.982 0.686
Tb 0.704 0.115 0.018
Tb 0.096 0.186 0.482
O 0.000 0.500 0.500
Tb 0.704 0.589 0.186
O 0.000 0.000 0.500
Tb 0.518 0.314 0.904
O 0.625 0.750 0.875
Tb 0.296 0.411 0.814
Tb 0.089 0.904 0.385
Tb 0.482 0.796 0.885
O 0.375 0.250 0.125
Si 0.625 0.375 0.750
Tb 0.686 0.204 0.589
Si 0.250 0.125 0.375
O 0.500 0.000 0.000
Tb 0.411 0.115 0.596
Tb 0.385 0.404 0.089
O 0.125 0.375 0.250
Tb 0.404 0.385 0.589
Tb 0.982 0.385 0.296
Tb 0.589 0.885 0.404
O 0.250 0.375 0.625
Tb 0.018 0.404 0.814
Tb 0.596 0.615 0.411
Tb 0.615 0.596 0.911
Si 0.125 0.250 0.875
Tb 0.911 0.096 0.615
O 0.500 0.000 0.500
Tb 0.518 0.204 0.115
Tb 0.411 0.296 0.314
Si 0.750 0.875 0.625
Si 0.750 0.375 0.125
Tb 0.186 0.096 0.982
Tb 0.796 0.314 0.911
Tb 0.314 0.518 0.404
O 0.625 0.875 0.250
O 0.750 0.625 0.375
Si 0.875 0.125 0.250
O 0.375 0.125 0.750
Tb 0.115 0.704 0.518
Tb 0.314 0.796 0.411
Tb 0.982 0.596 0.186
Tb 0.186 0.089 0.704
Tb 0.904 0.814 0.518
O 0.875 0.250 0.625
Si 0.375 0.625 0.250
Si 0.625 0.250 0.375
Si 0.250 0.625 0.875
Tb 0.686 0.482 0.596
Tb 0.885 0.589 0.904
O 0.500 0.500 0.000
Tb 0.904 0.089 0.885
Tb 0.204 0.686 0.089
Tb 0.404 0.018 0.314
Tb 0.615 0.018 0.204
Tb 0.089 0.186 0.204
Tb 0.296 0.885 0.982
Tb 0.018 0.615 0.704
O 0.000 0.500 0.000
Tb 0.814 0.911 0.296
Tb 0.482 0.686 0.096
O 0.750 0.125 0.875
Si 0.875 0.750 0.125
O 0.000 0.000 0.000
Tb 0.096 0.911 0.115
Tb 0.911 0.814 0.796
Tb 0.885 0.296 0.482
Tb 0.385 0.982 0.796
Tb 0.796 0.482 0.385
Tb 0.115 0.411 0.096
O 0.250 0.875 0.125
Tb 0.204 0.518 0.615

Properties
Final energy   -6.47 eV per atom
E_form (uncorrected)   -1.63 eV/atom
Spin magnetization   0.000 μB per cell



VASP calculation (PBE) on Pa3FeCo9B2 after structural relaxation.

Unit cell a=5.304 b=5.304 c=8.254 alpha=90.00 beta=90.00 gamma=120.00
Each line ends with the local moment (μB).
Element x y z (fractional)
Co 0.500 0.000 0.000  0.06
Fe 0.000 0.000 0.500  2.50
Co 0.000 0.500 0.000  0.06
Co 0.835 0.165 0.712  0.39
Co 0.165 0.331 0.288  0.39
Pa 0.667 0.333 0.354  -0.34
Pa 0.333 0.667 0.646  -0.34
Co 0.331 0.165 0.712  0.39
Co 0.835 0.669 0.712  0.39
Co 0.669 0.835 0.288  0.39
B 0.667 0.333 0.854  -0.02
B 0.333 0.667 0.146  -0.02
Co 0.500 0.500 0.000  0.06
Pa 0.000 0.000 0.000  -0.14
Co 0.165 0.835 0.288  0.39

Properties
Final energy   -7.91 eV per atom
Spin magnetization   3.938 μB per cell
Energy relative to the elements   -297.7 meV/atom